! PBE-GGA CeTmS3, optimized geometry; values from VASP
&SYSTEM
  ibrav = 0, nat = 20, ntyp = 3
/
ATOMIC_SPECIES
Ce 140.12 Ce.upf
Tm 168.93 Tm.upf
S 32.06 S.upf
CELL_PARAMETERS angstrom
3.958 0.000 0.000
0.000 7.355 0.000
0.000 0.000 15.174
ATOMIC_POSITIONS crystal
Ce 0.750 0.861 0.798
Ce 0.250 0.139 0.202
Ce 0.750 0.361 0.702
Ce 0.250 0.639 0.298
Tm 0.250 0.268 0.957
Tm 0.250 0.768 0.543
Tm 0.750 0.232 0.457
Tm 0.750 0.732 0.043
S 0.250 0.374 0.562
S 0.750 0.849 0.216
S 0.750 0.488 0.896
S 0.750 0.988 0.604
S 0.750 0.626 0.438
S 0.250 0.012 0.396
S 0.250 0.874 0.938
S 0.750 0.349 0.284
S 0.250 0.651 0.716
S 0.250 0.151 0.784
S 0.750 0.126 0.062
S 0.250 0.512 0.104
! Volume ... 22.08 A^3/atom
! Final energy ... -6.599 eV/atom
! Polymorph energy (0 for the lowest one) ... 1 kJ/mol of formula units

! PBE-GGA Ac5TbTe8, optimized geometry; values from VASP
&SYSTEM
  ibrav = 0, nat = 14, ntyp = 3
/
ATOMIC_SPECIES
Ac 227.00 Ac.upf
Tb 158.93 Tb.upf
Te 127.60 Te.upf
CELL_PARAMETERS angstrom
1.114 7.425 -4.112
-3.056 -5.872 -5.428
-5.550 1.163 6.413
ATOMIC_POSITIONS crystal
Ac 0.999 0.374 0.126
Ac 0.874 0.873 0.248
Ac 0.752 0.626 0.625
Ac 0.500 0.000 0.500
Ac 0.375 0.127 0.001
Tb 0.250 0.500 0.750
Te 0.132 0.743 0.019
Te 0.981 0.113 0.724
Te 0.783 0.251 0.378
Te 0.622 0.405 0.873
Te 0.468 0.595 0.217
Te 0.611 0.887 0.868
Te 0.276 0.257 0.389
Te 0.127 0.749 0.532
! Volume ... 34.49 A^3/atom
! Final energy ... -5.112 eV/atom

! PBE-GGA K3RbAu, optimized geometry; values from VASP
&SYSTEM
  ibrav = 0, nat = 10, ntyp = 3
/
ATOMIC_SPECIES
K 39.10 K.upf
Au 196.97 Au.upf
Rb 85.47 Rb.upf
CELL_PARAMETERS angstrom
-2.666 6.491 -4.284
3.028 -6.089 -5.645
-5.903 -6.583 -3.620
ATOMIC_POSITIONS crystal
K 0.055 0.298 0.756
K 0.480 0.997 0.069
K 0.126 0.777 0.747
K 0.597 0.486 0.619
K 0.627 0.610 0.991
K 0.145 0.450 0.270
Au 0.299 0.711 0.463
Au 0.845 0.340 0.014
Rb 0.618 0.095 0.450
Rb 0.990 0.931 0.247
! Volume ... 56.71 A^3/atom
! Final energy ... -1.627 eV/atom
! Polymorph energy (0 for the lowest one) ... 7 kJ/mol of formula units
! Formation energy from the elements ... -0.12 eV/atom

! PBE-GGA Si2NiW, optimized geometry; values from VASP
&SYSTEM
  ibrav = 0, nat = 4, ntyp = 3
/
ATOMIC_SPECIES
Ni 58.69 Ni.upf
Si 28.09 Si.upf
W 183.84 W.upf
CELL_PARAMETERS angstrom
4.728 0.019 0.006
3.856 2.736 0.006
1.254 0.402 4.086
ATOMIC_POSITIONS crystal
Ni 0.259 0.259 0.174
Si 0.000 0.000 0.063
Si 0.747 0.747 0.695
W 0.494 0.494 0.567
! Volume ... 13.14 A^3/atom
! Final energy ... -7.585 eV/atom
! Polymorph energy (0 for the lowest one) ... 6 kJ/mol of formula units

! PBE-GGA SnBN2F, optimized geometry; values from VASP
&SYSTEM
  ibrav = 0, nat = 5, ntyp = 4
/
ATOMIC_SPECIES
B 10.81 B.upf
N 14.01 N.upf
Sn 118.71 Sn.upf
F 19.00 F.upf
CELL_PARAMETERS angstrom
3.304 0.000 0.000
0.000 3.304 0.000
0.000 0.000 4.960
ATOMIC_POSITIONS crystal
B 0.000 0.000 0.000
N 0.000 0.500 0.000
N 0.500 0.000 0.000
Sn 0.500 0.500 0.500
F 0.000 0.000 0.500
! Volume ... 10.83 A^3/atom
! Final energy ... -5.531 eV/atom
! Polymorph energy (0 for the lowest one) ... 0 kJ/mol of formula units

! PBE-GGA TlZn2B, optimized geometry; values from VASP
&SYSTEM
  ibrav = 0, nat = 8, ntyp = 3
/
ATOMIC_SPECIES
Tl 204.38 Tl.upf
B 10.81 B.upf
Zn 65.41 Zn.upf
CELL_PARAMETERS angstrom
5.476 0.000 0.000
0.000 5.476 0.000
2.738 2.738 5.986
ATOMIC_POSITIONS crystal
Tl 0.000 0.000 0.000
Tl 0.750 0.250 0.500
B 0.500 0.500 0.000
B 0.250 0.750 0.500
Zn 0.373 0.125 0.250
Zn 0.377 0.625 0.250
Zn 0.375 0.627 0.750
Zn 0.875 0.623 0.750
! Volume ... 22.44 A^3/atom
! Final energy ... -2.399 eV/atom
! Polymorph energy (0 for the lowest one) ... 0 kJ/mol of formula units
! Formation energy from the elements ... 0.50 eV/atom

! PBE-GGA Er3Zr2Cd3, optimized geometry; values from VASP
&SYSTEM
  ibrav = 0, nat = 8, ntyp = 3
/
ATOMIC_SPECIES
Er 167.26 Er.upf
Zr 91.22 Zr.upf
Cd 112.41 Cd.upf
CELL_PARAMETERS angstrom
3.452 0.000 -0.556
-0.197 5.086 -1.223
0.054 0.033 11.332
ATOMIC_POSITIONS crystal
Er 0.368 0.368 0.736
Er 0.632 0.632 0.264
Er 0.500 0.000 0.000
Zr 0.263 0.763 0.526
Zr 0.737 0.237 0.474
Cd 0.881 0.881 0.761
Cd 0.000 0.500 0.000
Cd 0.119 0.119 0.239
! Volume ... 24.91 A^3/atom
! Final energy ... -4.374 eV/atom
! Formation energy from the elements ... -0.18 eV/atom

! PBE-GGA RbBeTlPd, optimized geometry; values from VASP
&SYSTEM
  ibrav = 0, nat = 4, ntyp = 4
/
ATOMIC_SPECIES
Be 9.01 Be.upf
Tl 204.38 Tl.upf
Rb 85.47 Rb.upf
Pd 106.42 Pd.upf
CELL_PARAMETERS angstrom
-1.754 1.442 -3.186
-3.682 -3.121 -1.781
-5.792 2.870 2.133
ATOMIC_POSITIONS crystal
Be 0.518 0.269 0.130
Tl 0.219 0.898 0.098
Rb 0.677 0.453 0.611
Pd 0.931 0.484 0.091
! Volume ... 30.05 A^3/atom
! Final energy ... -3.020 eV/atom
! Polymorph energy (0 for the lowest one) ... 10 kJ/mol of formula units
! Formation energy from the elements ... 0.04 eV/atom

! PBE-GGA PuAlGa2, optimized geometry; values from VASP
&SYSTEM
  ibrav = 0, nat = 4, ntyp = 3
/
ATOMIC_SPECIES
Al 26.98 Al.upf
Ga 69.72 Ga.upf
Pu 244.00 Pu.upf
CELL_PARAMETERS angstrom
3.432 0.000 0.000
0.000 3.432 0.000
0.000 0.000 6.703
ATOMIC_POSITIONS crystal
Al 0.500 0.500 0.000
Ga 0.000 0.000 0.793
Ga 0.000 0.000 0.207
Pu 0.500 0.500 0.500
! Volume ... 19.73 A^3/atom
! Final energy ... -6.249 eV/atom
! Formation energy from the elements ... -0.22 eV/atom

! PBE-GGA BaLaSe2, optimized geometry; values from VASP
&SYSTEM
  ibrav = 0, nat = 4, ntyp = 3
/
ATOMIC_SPECIES
Ba 137.33 Ba.upf
Se 78.96 Se.upf
La 138.91 La.upf
CELL_PARAMETERS angstrom
-2.665 -2.905 -2.081
0.916 -1.274 -4.173
3.532 -7.042 0.554
ATOMIC_POSITIONS crystal
Ba 0.750 0.750 0.750
Se 0.992 0.992 0.024
Se 0.508 0.508 0.476
La 0.250 0.250 0.250
! Volume ... 32.14 A^3/atom
! Final energy ... -5.446 eV/atom
! Polymorph energy (0 for the lowest one) ... 0 kJ/mol of formula units

! PBE-GGA La2ThSb3Ir4, optimized geometry; values from VASP
&SYSTEM
  ibrav = 0, nat = 10, ntyp = 4
/
ATOMIC_SPECIES
La 138.91 La.upf
Th 232.04 Th.upf
Sb 121.76 Sb.upf
Ir 192.22 Ir.upf
CELL_PARAMETERS angstrom
-2.091 3.116 -2.497
-1.595 -3.235 -2.703
-9.364 -0.947 6.660
ATOMIC_POSITIONS crystal
La 0.500 0.000 0.219
La 0.000 0.500 0.781
Th 0.500 0.500 0.500
Sb 0.000 0.000 0.500
Sb 0.500 0.000 0.870
Sb 0.000 0.500 0.130
Ir 0.500 0.500 0.000
Ir 0.000 0.000 0.000
Ir 0.500 0.000 0.644
Ir 0.000 0.500 0.356
! Volume ... 23.42 A^3/atom
! Final energy ... -7.215 eV/atom

! PBE-GGA Ca2TcH4, optimized geometry; values from VASP
&SYSTEM
  ibrav = 0, nat = 7, ntyp = 3
/
ATOMIC_SPECIES
H 1.01 H.upf
Ca 40.08 Ca.upf
Tc 98.00 Tc.upf
CELL_PARAMETERS angstrom
-2.059 -2.930 -0.020
0.920 -0.670 3.395
-6.330 2.233 4.044
ATOMIC_POSITIONS crystal
H 0.879 0.879 0.243
H 0.121 0.121 0.757
H 0.000 0.500 0.000
H 0.500 0.000 0.000
Ca 0.622 0.622 0.755
Ca 0.378 0.378 0.245
Tc 0.000 0.000 0.000
! Volume ... 13.59 A^3/atom
! Final energy ... -4.317 eV/atom

! PBE-GGA Sr2CuHg, optimized geometry; values from VASP
&SYSTEM
  ibrav = 0, nat = 4, ntyp = 3
/
ATOMIC_SPECIES
Sr 87.62 Sr.upf
Hg 200.59 Hg.upf
Cu 63.55 Cu.upf
CELL_PARAMETERS angstrom
5.116 0.045 2.116
1.242 3.428 4.166
0.916 -2.024 5.071
ATOMIC_POSITIONS crystal
Sr 0.250 0.250 0.250
Sr 0.750 0.750 0.750
Hg 0.500 0.500 0.500
Cu 0.000 0.000 0.000
! Volume ... 29.99 A^3/atom
! Final energy ... -2.164 eV/atom
! Polymorph energy (0 for the lowest one) ... 22 kJ/mol of formula units
! Formation energy from the elements ... -0.22 eV/atom

! PBE-GGA TiNb2CuN, optimized geometry; values from VASP
&SYSTEM
  ibrav = 0, nat = 5, ntyp = 4
/
ATOMIC_SPECIES
Nb 92.91 Nb.upf
N 14.01 N.upf
Cu 63.55 Cu.upf
Ti 47.87 Ti.upf
CELL_PARAMETERS angstrom
4.317 0.000 0.000
0.000 3.864 0.000
0.000 0.000 4.317
ATOMIC_POSITIONS crystal
Nb 0.000 0.000 0.500
Nb 0.500 0.000 0.000
N 0.000 0.000 0.000
Cu 0.000 0.500 0.000
Ti 0.500 0.500 0.500
! Volume ... 14.40 A^3/atom
! Final energy ... -8.327 eV/atom
! Polymorph energy (0 for the lowest one) ... 133 kJ/mol of formula units

! PBE-GGA Cd5Au, optimized geometry; values from VASP
&SYSTEM
  ibrav = 0, nat = 6, ntyp = 2
/
ATOMIC_SPECIES
Au 196.97 Au.upf
Cd 112.41 Cd.upf
CELL_PARAMETERS angstrom
-3.230 -12.360 -1.290
2.761 -0.569 -1.466
1.354 -0.646 2.801
ATOMIC_POSITIONS crystal
Au 0.833 0.500 0.500
Cd 0.984 0.000 0.000
Cd 0.159 0.500 0.500
Cd 0.333 0.000 0.000
Cd 0.508 0.500 0.500
Cd 0.683 0.000 0.000
! Volume ... 21.61 A^3/atom
! Final energy ... -1.337 eV/atom
! Polymorph energy (0 for the lowest one) ... 23 kJ/mol of formula units
! Formation energy from the elements ... -0.03 eV/atom

! PBE-GGA MnAgRh2, optimized geometry; values from VASP
&SYSTEM
  ibrav = 0, nat = 8, ntyp = 3
/
ATOMIC_SPECIES
Mn 54.94 Mn.upf
Rh 102.91 Rh.upf
Ag 107.87 Ag.upf
CELL_PARAMETERS angstrom
-6.880 -0.807 -0.643
-0.030 -4.178 5.563
-3.848 -0.393 4.034
ATOMIC_POSITIONS crystal
Mn 0.500 0.500 0.000
Mn 0.250 0.750 0.500
Rh 0.582 0.125 0.250
Rh 0.168 0.625 0.250
Rh 0.375 0.418 0.750
Rh 0.875 0.832 0.750
Ag 0.000 0.000 0.000
Ag 0.750 0.250 0.500
! Volume ... 16.05 A^3/atom
! Final energy ... -6.234 eV/atom
! Polymorph energy (0 for the lowest one) ... 155 kJ/mol of formula units
! Formation energy from the elements ... 0.45 eV/atom

! PBE-GGA TaTe2Os, optimized geometry; values from VASP
&SYSTEM
  ibrav = 0, nat = 4, ntyp = 3
/
ATOMIC_SPECIES
Os 190.23 Os.upf
Ta 180.95 Ta.upf
Te 127.60 Te.upf
CELL_PARAMETERS angstrom
3.158 0.000 0.000
0.000 3.876 0.000
0.000 0.000 7.827
ATOMIC_POSITIONS crystal
Os 0.000 0.000 0.552
Ta 0.500 0.500 0.695
Te 0.000 0.000 0.913
Te 0.500 0.500 0.341
! Volume ... 23.95 A^3/atom
! Final energy ... -7.163 eV/atom
! Polymorph energy (0 for the lowest one) ... 60 kJ/mol of formula units

! PBE-GGA Sc2BeInN, optimized geometry; values from VASP
&SYSTEM
  ibrav = 0, nat = 5, ntyp = 4
/
ATOMIC_SPECIES
Sc 44.96 Sc.upf
Be 9.01 Be.upf
N 14.01 N.upf
In 114.82 In.upf
CELL_PARAMETERS angstrom
-0.383 -4.166 2.077
-1.668 -1.823 -3.964
3.276 -0.804 -1.008
ATOMIC_POSITIONS crystal
Sc 0.000 0.500 0.000
Sc 0.500 0.000 0.000
Be 0.000 0.000 0.500
N 0.000 0.000 0.000
In 0.500 0.500 0.500
! Volume ... 15.37 A^3/atom
! Final energy ... -6.235 eV/atom

! PBE-GGA Mg7Cu, optimized geometry; values from VASP
&SYSTEM
  ibrav = 0, nat = 8, ntyp = 2
/
ATOMIC_SPECIES
Cu 63.55 Cu.upf
Mg 24.30 Mg.upf
CELL_PARAMETERS angstrom
6.201 0.000 0.000
3.100 5.370 0.000
3.100 1.790 5.063
ATOMIC_POSITIONS crystal
Cu 0.000 0.000 0.000
Mg 0.000 0.000 0.500
Mg 0.000 0.500 0.000
Mg 0.000 0.500 0.500
Mg 0.500 0.000 0.000
Mg 0.500 0.000 0.500
Mg 0.500 0.500 0.000
Mg 0.500 0.500 0.500
! Volume ... 21.07 A^3/atom
! Final energy ... -1.868 eV/atom
! Polymorph energy (0 for the lowest one) ... 18 kJ/mol of formula units
! Formation energy from the elements ... 0.04 eV/atom

! PBE-GGA Ba6As2SN, optimized geometry; values from VASP
&SYSTEM
  ibrav = 0, nat = 20, ntyp = 4
/
ATOMIC_SPECIES
Ba 137.33 Ba.upf
As 74.92 As.upf
S 32.06 S.upf
N 14.01 N.upf
CELL_PARAMETERS angstrom
-4.780 3.069 4.985
3.702 -4.403 6.261
7.169 8.358 1.638
ATOMIC_POSITIONS crystal
Ba 0.299 0.676 0.064
Ba 0.799 0.824 0.564
Ba 0.701 0.324 0.936
Ba 0.201 0.176 0.436
Ba 0.331 0.707 0.438
Ba 0.831 0.793 0.938
Ba 0.669 0.293 0.562
Ba 0.169 0.207 0.062
Ba 0.875 0.543 0.234
Ba 0.375 0.957 0.734
Ba 0.125 0.457 0.766
Ba 0.625 0.043 0.266
As 0.043 0.906 0.247
As 0.543 0.594 0.747
As 0.957 0.094 0.753
As 0.457 0.406 0.253
S 0.500 0.000 0.000
S 0.000 0.500 0.500
N 0.500 0.000 0.500
N 0.000 0.500 0.000
! Volume ... 35.77 A^3/atom
! Final energy ... -4.361 eV/atom

! PBE-GGA Co2GeH, optimized geometry; values from VASP
&SYSTEM
  ibrav = 0, nat = 4, ntyp = 3
/
ATOMIC_SPECIES
H 1.01 H.upf
Ge 72.64 Ge.upf
Co 58.93 Co.upf
CELL_PARAMETERS angstrom
-1.598 -0.257 2.179
-1.009 -2.308 -1.013
3.791 -2.736 2.457
ATOMIC_POSITIONS crystal
H 0.500 0.500 0.000
Ge 0.500 0.500 0.500
Co 0.000 0.000 0.778
Co 0.000 0.000 0.222
! Volume ... 9.73 A^3/atom
! Final energy ... -5.214 eV/atom
! Polymorph energy (0 for the lowest one) ... 147 kJ/mol of formula units

! PBE-GGA Nb3BiCl, optimized geometry; values from VASP
&SYSTEM
  ibrav = 0, nat = 5, ntyp = 3
/
ATOMIC_SPECIES
Nb 92.91 Nb.upf
Bi 208.98 Bi.upf
Cl 35.45 Cl.upf
CELL_PARAMETERS angstrom
-4.161 1.684 1.199
-1.466 -4.304 0.956
1.457 0.478 4.386
ATOMIC_POSITIONS crystal
Nb 0.000 0.500 0.000
Nb 0.000 0.000 0.500
Nb 0.500 0.000 0.000
Bi 0.500 0.500 0.500
Cl 0.000 0.000 0.000
! Volume ... 20.06 A^3/atom
! Final energy ... -6.622 eV/atom
! Polymorph energy (0 for the lowest one) ... 0 kJ/mol of formula units

! PBE-GGA Al6Ga12Ru, optimized geometry; values from VASP
&SYSTEM
  ibrav = 0, nat = 19, ntyp = 3
/
ATOMIC_SPECIES
Al 26.98 Al.upf
Ga 69.72 Ga.upf
Ru 101.07 Ru.upf
CELL_PARAMETERS angstrom
-5.523 -0.051 4.434
5.161 -1.409 4.641
0.901 7.002 -0.568
ATOMIC_POSITIONS crystal
Al 0.126 0.251 0.789
Al 0.749 0.211 0.874
Al 0.211 0.874 0.749
Al 0.874 0.749 0.211
Al 0.251 0.789 0.126
Al 0.789 0.126 0.251
Ga 0.556 0.199 0.489
Ga 0.199 0.489 0.556
Ga 0.489 0.556 0.199
Ga 0.444 0.801 0.511
Ga 0.801 0.511 0.444
Ga 0.511 0.444 0.801
Ga 0.825 0.929 0.588
Ga 0.412 0.175 0.071
Ga 0.071 0.412 0.175
Ga 0.175 0.071 0.412
Ga 0.588 0.825 0.929
Ga 0.929 0.588 0.825
Ru 0.000 0.000 0.000
! Volume ... 17.92 A^3/atom
! Final energy ... -3.582 eV/atom
! Formation energy from the elements ... 0.00 eV/atom

! PBE-GGA Mg3InO, optimized geometry; values from VASP
&SYSTEM
  ibrav = 0, nat = 5, ntyp = 3
/
ATOMIC_SPECIES
Mg 24.30 Mg.upf
O 16.00 O.upf
In 114.82 In.upf
CELL_PARAMETERS angstrom
-2.876 4.415 -0.256
-3.489 -2.078 3.367
2.717 2.005 4.053
ATOMIC_POSITIONS crystal
Mg 0.000 0.500 0.000
Mg 0.000 0.000 0.500
Mg 0.500 0.000 0.000
O 0.500 0.500 0.500
In 0.000 0.000 0.000
! Volume ... 29.36 A^3/atom
! Final energy ... -2.002 eV/atom
! Polymorph energy (0 for the lowest one) ... 689 kJ/mol of formula units

! PBE-GGA Sr4Bi2Sb2Pd, optimized geometry; values from VASP
&SYSTEM
  ibrav = 0, nat = 9, ntyp = 4
/
ATOMIC_SPECIES
Sr 87.62 Sr.upf
Bi 208.98 Bi.upf
Sb 121.76 Sb.upf
Pd 106.42 Pd.upf
CELL_PARAMETERS angstrom
5.040 -0.393 -0.268
0.810 7.938 -0.209
0.810 2.721 7.461
ATOMIC_POSITIONS crystal
Sr 0.241 0.640 0.102
Sr 0.759 0.898 0.360
Sr 0.759 0.360 0.898
Sr 0.241 0.102 0.640
Bi 0.254 0.582 0.582
Bi 0.746 0.418 0.418
Sb 0.255 0.187 0.187
Sb 0.745 0.813 0.813
Pd 0.500 0.000 0.000
! Volume ... 33.88 A^3/atom
! Final energy ... -3.920 eV/atom